! K3La2MoO6 PBE+U optimized geometry; values from VASP
! E ... -6.453 eV per atom
! Size of the total moment ... 0.25 μB per atom
! Crystal system ... monoclinic
&SYSTEM
  ibrav = 0, nat = 12, ntyp = 4
/
ATOMIC_SPECIES
La 138.91 La.upf
K 39.10 K.upf
O 16.00 O.upf
Mo 95.94 Mo.upf
CELL_PARAMETERS angstrom
-5.2481 -0.6451 -3.2398
0.5009 -2.5468 5.6319
-0.6664 6.3019 1.7827
ATOMIC_POSITIONS crystal
La 0.6671 0.3329 0.0000
K 0.5000 0.5000 0.5000
O 0.9372 0.6264 0.8106
O 0.7507 0.7507 0.1878
O 0.6264 0.9372 0.8106
La 0.3329 0.6671 0.0000
O 0.3736 0.0628 0.1894
O 0.2493 0.2493 0.8122
Mo 0.0000 0.0000 0.0000
O 0.0628 0.3736 0.1894
K 0.8407 0.1593 0.5000
K 0.1593 0.8407 0.5000